Entry from Alexandria via LeMat-Bulk: a relaxed PmErFeCu crystal (PBE-GGA).

Computed properties:
The calculation puts the formation energy from the elements at 0.0221 eV/atom. The volume is 82.0 Å³/cell. Its space-group type is No. 216.

abc: 4.8762 4.8762 4.8762
angles: 60.00 60.00 60.00
Last column: magnetic moment on the atom in μB.
Atoms (fractional coordinates):
Er: 0.0000 0.0000 0.0000  -0.30
Cu: 0.2500 0.2500 0.2500  -0.01
Pm: 0.5000 0.5000 0.5000  -0.17
Fe: 0.7500 0.7500 0.7500  1.76